# RbTiS2 | Alexandria via LeMat-Bulk | PBE | optimized geometry
data_RbTiS2
_chemical_formula_sum 'Rb4 Ti4 S8'
_cell_length_a 6.9711
_cell_length_b 3.5150
_cell_length_c 17.4980
_cell_angle_alpha 90.00
_cell_angle_beta 90.00
_cell_angle_gamma 90.00
_space_group_name_H-M_alt 'P 1'
_space_group_IT_number 1
loop_
_space_group_symop_operation_xyz
'x,y,z'
loop_
_atom_site_label
_atom_site_type_symbol
_atom_site_fract_x
_atom_site_fract_y
_atom_site_fract_z
Rb1 Rb 0.0638 0.2500 0.1479
Rb2 Rb 0.4362 0.7500 0.6479
Rb3 Rb 0.5638 0.2500 0.3521
Rb4 Rb 0.9362 0.7500 0.8521
Ti1 Ti 0.0654 0.7500 0.4306
Ti2 Ti 0.4346 0.2500 0.9306
Ti3 Ti 0.5654 0.7500 0.0694
Ti4 Ti 0.9346 0.2500 0.5694
S1 S 0.0579 0.2500 0.3353
S2 S 0.2360 0.2500 0.5069
S3 S 0.2640 0.7500 0.0069
S4 S 0.4421 0.7500 0.8353
S5 S 0.5579 0.2500 0.1647
S6 S 0.7360 0.2500 0.9931
S7 S 0.7640 0.7500 0.4931
S8 S 0.9421 0.7500 0.6647
# Crystal system   orthorhombic
# Electronic total energy   -5.56 eV per atom
# Raw formation energy   -1.282 eV per atom

=====

# Pr2Ho3Er | Alexandria via LeMat-Bulk | PBE | optimized geometry
data_Pr2Ho3Er
_chemical_formula_sum 'Pr4 Ho6 Er2'
_cell_length_a 8.9988
_cell_length_b 8.9988
_cell_length_c 10.0735
_cell_angle_alpha 122.97
_cell_angle_beta 122.97
_cell_angle_gamma 36.16
_space_group_name_H-M_alt 'P 1'
_space_group_IT_number 1
loop_
_space_group_symop_operation_xyz
'x,y,z'
loop_
_atom_site_label
_atom_site_type_symbol
_atom_site_fract_x
_atom_site_fract_y
_atom_site_fract_z
Pr1 Pr 0.0083 0.0083 0.3583
Pr2 Pr 0.2702 0.2702 0.6288
Pr3 Pr 0.7298 0.7298 0.3712
Pr4 Pr 0.9917 0.9917 0.6417
Ho1 Ho 0.1129 0.1129 0.1544
Ho2 Ho 0.2090 0.2090 0.9260
Ho3 Ho 0.4517 0.4517 0.1059
Ho4 Ho 0.5483 0.5483 0.8941
Ho5 Ho 0.7910 0.7910 0.0740
Ho6 Ho 0.8871 0.8871 0.8456
Er1 Er 0.3667 0.3667 0.3606
Er2 Er 0.6333 0.6333 0.6394
# Excess energy over the best structure of this formula in the dataset   0.035 eV/atom
# Crystal system   monoclinic
# Electronic total energy   -4.54 eV per atom
# ΔE_f   98 meV per atom

=====

# CrPtPb | Alexandria via LeMat-Bulk | PBE | optimized geometry
data_CrPtPb
_chemical_formula_sum 'Cr1 Pt1 Pb1'
_cell_length_a 3.3759
_cell_length_b 3.3759
_cell_length_c 6.1642
_cell_angle_alpha 90.00
_cell_angle_beta 90.00
_cell_angle_gamma 120.00
_space_group_name_H-M_alt 'P 1'
_space_group_IT_number 1
loop_
_space_group_symop_operation_xyz
'x,y,z'
loop_
_atom_site_label
_atom_site_type_symbol
_atom_site_fract_x
_atom_site_fract_y
_atom_site_fract_z
Cr1 Cr 0.0000 0.0000 0.0000
Pt1 Pt 0.3333 0.6667 0.7472
Pb1 Pb 0.6667 0.3333 0.3782
# Excess energy over the best structure of this formula in the dataset   0.210 eV/atom
# Crystal system   trigonal
# Electronic total energy   -6.09 eV per atom
# ΔE_f   367 meV per atom

=====

# CsMoN2 | Alexandria via LeMat-Bulk | PBE | optimized geometry
data_CsMoN2
_chemical_formula_sum 'Cs4 Mo4 N8'
_cell_length_a 6.2068
_cell_length_b 6.2068
_cell_length_c 8.7766
_cell_angle_alpha 90.00
_cell_angle_beta 90.00
_cell_angle_gamma 90.00
_space_group_name_H-M_alt 'P 1'
_space_group_IT_number 1
loop_
_space_group_symop_operation_xyz
'x,y,z'
loop_
_atom_site_label
_atom_site_type_symbol
_atom_site_fract_x
_atom_site_fract_y
_atom_site_fract_z
Cs1 Cs 0.0000 0.0000 0.0000
Cs2 Cs 0.0000 0.5000 0.2500
Cs3 Cs 0.5000 0.0000 0.7500
Cs4 Cs 0.5000 0.5000 0.5000
Mo1 Mo 0.0000 0.0000 0.5000
Mo2 Mo 0.0000 0.5000 0.7500
Mo3 Mo 0.5000 0.0000 0.2500
Mo4 Mo 0.5000 0.5000 0.0000
N1 N 0.0021 0.7500 0.6250
N2 N 0.2500 0.0021 0.3750
N3 N 0.2500 0.4979 0.8750
N4 N 0.4979 0.7500 0.1250
N5 N 0.5021 0.2500 0.1250
N6 N 0.7500 0.5021 0.8750
N7 N 0.7500 0.9979 0.3750
N8 N 0.9979 0.2500 0.6250
# Excess energy over the best structure of this formula in the dataset   0.005 eV/atom
# Crystal system   tetragonal
# Electronic total energy   -7.52 eV per atom
# Raw formation energy   -0.432 eV per atom

=====

# CoSiP | Alexandria via LeMat-Bulk | PBE | optimized geometry
data_CoSiP
_chemical_formula_sum 'Co1 Si1 P1'
_cell_length_a 2.5277
_cell_length_b 3.2042
_cell_length_c 4.8668
_cell_angle_alpha 90.00
_cell_angle_beta 90.00
_cell_angle_gamma 90.00
_space_group_name_H-M_alt 'P 1'
_space_group_IT_number 1
loop_
_space_group_symop_operation_xyz
'x,y,z'
loop_
_atom_site_label
_atom_site_type_symbol
_atom_site_fract_x
_atom_site_fract_y
_atom_site_fract_z
Co1 Co 0.0000 0.0000 0.0000
Si1 Si 0.5000 0.5000 0.2713
P1 P 0.5000 0.5000 0.7477
# Crystal system   orthorhombic
# Electronic total energy   -6.13 eV per atom
# Raw formation energy   -0.155 eV per atom

=====

# Al2IrBr | Alexandria via LeMat-Bulk | PBE | optimized geometry
data_Al2IrBr
_chemical_formula_sum 'Al6 Ir3 Br3'
_cell_length_a 3.1840
_cell_length_b 3.1840
_cell_length_c 25.2778
_cell_angle_alpha 90.00
_cell_angle_beta 90.00
_cell_angle_gamma 120.00
_space_group_name_H-M_alt 'P 1'
_space_group_IT_number 1
loop_
_space_group_symop_operation_xyz
'x,y,z'
loop_
_atom_site_label
_atom_site_type_symbol
_atom_site_fract_x
_atom_site_fract_y
_atom_site_fract_z
Al1 Al 0.0000 0.0000 0.0000
Al2 Al 0.0000 0.0000 0.2506
Al3 Al 0.3333 0.6667 0.6667
Al4 Al 0.3333 0.6667 0.9172
Al5 Al 0.6667 0.3333 0.3333
Al6 Al 0.6667 0.3333 0.5839
Ir1 Ir 0.0000 0.0000 0.5192
Ir2 Ir 0.3333 0.6667 0.1858
Ir3 Ir 0.6667 0.3333 0.8525
Br1 Br 0.0000 0.0000 0.7398
Br2 Br 0.3333 0.6667 0.4064
Br3 Br 0.6667 0.3333 0.0731
# Excess energy over the best structure of this formula in the dataset   0.543 eV/atom
# Crystal system   trigonal
# Electronic total energy   -4.47 eV per atom
# Raw formation energy   0.030 eV per atom

=====

# Sr2Li3MgSn4 | Alexandria via LeMat-Bulk | PBE | optimized geometry
data_Sr2Li3MgSn4
_chemical_formula_sum 'Sr2 Li3 Mg1 Sn4'
_cell_length_a 4.4839
_cell_length_b 4.4839
_cell_length_c 12.8718
_cell_angle_alpha 90.00
_cell_angle_beta 90.00
_cell_angle_gamma 90.00
_space_group_name_H-M_alt 'P 1'
_space_group_IT_number 1
loop_
_space_group_symop_operation_xyz
'x,y,z'
loop_
_atom_site_label
_atom_site_type_symbol
_atom_site_fract_x
_atom_site_fract_y
_atom_site_fract_z
Sr1 Sr 0.0000 0.5000 0.2344
Sr2 Sr 0.5000 0.0000 0.7656
Li1 Li 0.0000 0.5000 0.8637
Li2 Li 0.5000 0.0000 0.1363
Li3 Li 0.5000 0.5000 0.5000
Mg1 Mg 0.0000 0.0000 0.5000
Sn1 Sn 0.0000 0.0000 0.0000
Sn2 Sn 0.0000 0.5000 0.6486
Sn3 Sn 0.5000 0.0000 0.3514
Sn4 Sn 0.5000 0.5000 0.0000
# Crystal system   tetragonal
# Electronic total energy   -3.13 eV per atom
# ΔE_f   -458 meV per atom

=====

# PmBeF6 | Alexandria via LeMat-Bulk | PBE | optimized geometry
data_PmBeF6
_chemical_formula_sum 'Pm1 Be1 F6'
_cell_length_a 4.4286
_cell_length_b 4.4286
_cell_length_c 4.4286
_cell_angle_alpha 98.14
_cell_angle_beta 98.14
_cell_angle_gamma 98.14
_space_group_name_H-M_alt 'P 1'
_space_group_IT_number 1
loop_
_space_group_symop_operation_xyz
'x,y,z'
loop_
_atom_site_label
_atom_site_type_symbol
_atom_site_fract_x
_atom_site_fract_y
_atom_site_fract_z
Pm1 Pm 0.0000 0.0000 0.0000
Be1 Be 0.5000 0.5000 0.5000
F1 F 0.2187 0.2187 0.5751
F2 F 0.2187 0.5751 0.2187
F3 F 0.4249 0.7813 0.7813
F4 F 0.5751 0.2187 0.2187
F5 F 0.7813 0.4249 0.7813
F6 F 0.7813 0.7813 0.4249
# Crystal system   trigonal
# Electronic total energy   -5.53 eV per atom
# Raw formation energy   -3.065 eV per atom

=====

Which of these has the lowest electronic total energy? CsMoN2

=====

The lowest electronic total energy belongs to which entry? CsMoN2